# Cs2MgHF

A geometry-optimized Cs2MgHF structure (GGA-PBEsol, the Alexandria database).

abc: 5.740 5.740 4.396
angles: 90.00 90.00 90.00
Element x y z (fractional)
Cs (0.000, 0.500, 0.000)
Cs (0.500, 0.000, 0.000)
Mg (0.000, 0.000, 0.500)
H (0.000, 0.000, 0.000)
F (0.500, 0.500, 0.500)

Computed properties:
SG: P4/mmm

***

# Cs3H12N4F3

A geometry-optimized Cs3H12N4F3 structure (GGA-PBEsol, the Alexandria database).

abc: 8.775 8.775 8.775
angles: 109.47 109.47 109.47
Element x y z (fractional)
Cs (0.125, 0.750, 0.875)
Cs (0.250, 0.625, 0.375)
Cs (0.375, 0.250, 0.625)
Cs (0.625, 0.375, 0.250)
Cs (0.750, 0.875, 0.125)
Cs (0.875, 0.125, 0.750)
H (0.042, 0.836, 0.410)
H (0.074, 0.206, 0.164)
H (0.090, 0.926, 0.632)
H (0.132, 0.426, 0.590)
H (0.164, 0.074, 0.206)
H (0.206, 0.164, 0.074)
H (0.294, 0.368, 0.958)
H (0.336, 0.542, 0.910)
H (0.368, 0.958, 0.294)
H (0.410, 0.042, 0.836)
H (0.426, 0.590, 0.132)
H (0.458, 0.868, 0.794)
H (0.542, 0.910, 0.336)
H (0.574, 0.664, 0.706)
H (0.590, 0.132, 0.426)
H (0.632, 0.090, 0.926)
H (0.664, 0.706, 0.574)
H (0.706, 0.574, 0.664)
H (0.794, 0.458, 0.868)
H (0.836, 0.410, 0.042)
H (0.868, 0.794, 0.458)
H (0.910, 0.336, 0.542)
H (0.926, 0.632, 0.090)
H (0.958, 0.294, 0.368)
N (0.000, 0.308, 0.500)
N (0.000, 0.808, 0.500)
N (0.192, 0.192, 0.192)
N (0.308, 0.500, 0.000)
N (0.500, 0.000, 0.308)
N (0.500, 0.000, 0.808)
N (0.692, 0.692, 0.692)
N (0.808, 0.500, 0.000)
F (0.125, 0.875, 0.250)
F (0.250, 0.125, 0.875)
F (0.375, 0.625, 0.750)
F (0.625, 0.750, 0.375)
F (0.750, 0.375, 0.625)
F (0.875, 0.250, 0.125)

Computed properties:
SG: I-43d

***

# CsPH3O4F

A geometry-optimized CsPH3O4F structure (GGA-PBEsol, the Alexandria database).

abc: 7.754 9.319 15.083
angles: 90.00 90.00 90.00
Element x y z (fractional)
Cs (0.194, 0.064, 0.161)
Cs (0.194, 0.436, 0.661)
Cs (0.306, 0.564, 0.161)
Cs (0.306, 0.936, 0.661)
Cs (0.694, 0.064, 0.339)
Cs (0.694, 0.436, 0.839)
Cs (0.806, 0.564, 0.339)
Cs (0.806, 0.936, 0.839)
P (0.181, 0.211, 0.437)
P (0.181, 0.289, 0.937)
P (0.319, 0.711, 0.437)
P (0.319, 0.789, 0.937)
P (0.681, 0.211, 0.063)
P (0.681, 0.289, 0.563)
P (0.819, 0.711, 0.063)
P (0.819, 0.789, 0.563)
H (0.024, 0.662, 0.962)
H (0.024, 0.838, 0.462)
H (0.051, 0.198, 0.800)
H (0.051, 0.302, 0.300)
H (0.237, 0.016, 0.920)
H (0.237, 0.484, 0.420)
H (0.263, 0.516, 0.920)
H (0.263, 0.984, 0.420)
H (0.449, 0.698, 0.800)
H (0.449, 0.802, 0.300)
H (0.476, 0.162, 0.962)
H (0.476, 0.338, 0.462)
H (0.524, 0.662, 0.538)
H (0.524, 0.838, 0.038)
H (0.551, 0.198, 0.700)
H (0.551, 0.302, 0.200)
H (0.737, 0.016, 0.580)
H (0.737, 0.484, 0.080)
H (0.763, 0.516, 0.580)
H (0.763, 0.984, 0.080)
H (0.949, 0.698, 0.700)
H (0.949, 0.802, 0.200)
H (0.976, 0.162, 0.538)
H (0.976, 0.338, 0.038)
O (0.029, 0.236, 0.374)
O (0.029, 0.264, 0.874)
O (0.111, 0.163, 0.530)
O (0.111, 0.337, 0.030)
O (0.195, 0.589, 0.404)
O (0.195, 0.911, 0.904)
O (0.206, 0.654, 0.947)
O (0.206, 0.846, 0.447)
O (0.294, 0.154, 0.947)
O (0.294, 0.346, 0.447)
O (0.305, 0.089, 0.404)
O (0.305, 0.411, 0.904)
O (0.389, 0.663, 0.530)
O (0.389, 0.837, 0.030)
O (0.471, 0.736, 0.374)
O (0.471, 0.764, 0.874)
O (0.529, 0.236, 0.126)
O (0.529, 0.264, 0.626)
O (0.611, 0.163, 0.970)
O (0.611, 0.337, 0.470)
O (0.695, 0.589, 0.096)
O (0.695, 0.911, 0.596)
O (0.706, 0.654, 0.553)
O (0.706, 0.846, 0.053)
O (0.794, 0.154, 0.553)
O (0.794, 0.346, 0.053)
O (0.805, 0.089, 0.096)
O (0.805, 0.411, 0.596)
O (0.889, 0.663, 0.970)
O (0.889, 0.837, 0.470)
O (0.971, 0.736, 0.126)
O (0.971, 0.764, 0.626)
F (0.060, 0.144, 0.738)
F (0.060, 0.356, 0.238)
F (0.440, 0.644, 0.738)
F (0.440, 0.856, 0.238)
F (0.560, 0.144, 0.762)
F (0.560, 0.356, 0.262)
F (0.940, 0.644, 0.762)
F (0.940, 0.856, 0.262)

Computed properties:
SG: Pbca

***

# Cs2VH2O2F4

A geometry-optimized Cs2VH2O2F4 structure (GGA-PBEsol, the Alexandria database).

abc: 8.301 8.301 6.956
angles: 91.32 91.32 134.88
Element x y z (fractional)
Cs (0.051, 0.949, 0.750)
Cs (0.246, 0.754, 0.250)
Cs (0.754, 0.246, 0.750)
Cs (0.949, 0.051, 0.250)
V (0.372, 0.628, 0.750)
V (0.628, 0.372, 0.250)
H (0.397, 0.502, 0.138)
H (0.498, 0.603, 0.362)
H (0.502, 0.397, 0.638)
H (0.603, 0.498, 0.862)
O (0.265, 0.735, 0.750)
O (0.484, 0.516, 0.250)
O (0.516, 0.484, 0.750)
O (0.735, 0.265, 0.250)
F (0.144, 0.359, 0.588)
F (0.222, 0.445, 0.974)
F (0.359, 0.144, 0.088)
F (0.445, 0.222, 0.474)
F (0.555, 0.778, 0.526)
F (0.641, 0.856, 0.912)
F (0.778, 0.555, 0.026)
F (0.856, 0.641, 0.412)

Computed properties:
SG: C2/c

***

So what do the calculations give for electronic total energy? Going down the list: -12.2; -209.6; -465.6; -124.2 eV for the cell shown.